! VAsAuSe2, optimized geometry, DFT PBE; values from VASP
&SYSTEM
  ibrav = 0, nat = 5, ntyp = 4
/
ATOMIC_SPECIES
V 50.94 V.upf
As 74.92 As.upf
Au 196.97 Au.upf
Se 78.96 Se.upf
CELL_PARAMETERS angstrom
5.1252 0.0000 0.0000
0.0000 5.1252 0.0000
0.0000 0.0000 4.8424
ATOMIC_POSITIONS angstrom
V 0.0000 0.0000 0.0000
As 2.5626 2.5626 0.0000
Au 2.5626 2.5626 2.4212
Se 0.0000 2.5626 2.4212
Se 2.5626 0.0000 2.4212
! Excess energy over the best structure of this formula in the dataset: 836 meV per atom
! D(E_F): 8.97 states/eV/cell
! Symmetry: P4/mmm, No. 123
! Formation energy (no corrections): 1.107 eV/atom
! Final energy: -3.70 eV per atom